# InAg2Ge

A geometry-optimized InAg2Ge structure (PBE-GGA, Alexandria via LeMat-Bulk).

Calculated values
Formation energy in meV/atom: 122.8

Cell lengths 3.387, 3.387, 6.979 Å; angles 90.00, 90.00, 90.00 degrees
Element x y z (fractional)
1 In 0.000 0.000 0.000
2 Ag 0.500 0.500 0.269
3 Ag 0.500 0.500 0.731
4 Ge 0.000 0.000 0.500